(1)
Material: RbBa2Pb8
Method: DFT, PBE-GGA
State: optimized geometry

VASP energy, eV per atom: -3.390
Formation enthalpy at 0 K, eV per atom: -0.26
SG: No. 12

Cell: 9.817 9.817 6.691 Å, 107.86 107.86 123.03°
Atoms (fractional coordinates):
Rb  0.000  0.000  0.000
Ba  0.310  0.690  0.500
Ba  0.690  0.310  0.500
Pb  0.122  0.372  0.776
Pb  0.218  0.782  0.000
Pb  0.372  0.122  0.776
Pb  0.496  0.496  0.746
Pb  0.504  0.504  0.254
Pb  0.628  0.878  0.224
Pb  0.782  0.218  0.000
Pb  0.878  0.628  0.224

(2)
Material: Rb2BaPb
Method: DFT, PBE-GGA
State: optimized geometry

VASP energy, eV per atom: -1.860
Formation enthalpy at 0 K, eV per atom: 0.03
SG: No. 122

Cell: 5.413 5.413 28.824 Å, 90.00 90.00 90.00°
Atoms (fractional coordinates):
Rb  0.226  0.250  0.125
Rb  0.250  0.726  0.375
Rb  0.250  0.774  0.875
Rb  0.274  0.250  0.625
Rb  0.726  0.750  0.625
Rb  0.750  0.226  0.875
Rb  0.750  0.274  0.375
Rb  0.774  0.750  0.125
Ba  0.000  0.000  0.500
Ba  0.000  0.500  0.750
Ba  0.500  0.000  0.250
Ba  0.500  0.500  0.000
Pb  0.000  0.000  0.000
Pb  0.000  0.500  0.250
Pb  0.500  0.000  0.750
Pb  0.500  0.500  0.500

(3)
Material: RbBaPb2
Method: DFT, PBE-GGA
State: optimized geometry

VASP energy, eV per atom: -2.768
Formation enthalpy at 0 K, eV per atom: -0.19
ΔE to the lowest computed polymorph, meV/atom: 43
SG: No. 225

Cell: 8.667 8.667 8.667 Å, 90.00 90.00 90.00°
Atoms (fractional coordinates):
Rb  0.000  0.000  0.000
Rb  0.000  0.500  0.500
Rb  0.500  0.000  0.500
Rb  0.500  0.500  0.000
Ba  0.000  0.000  0.500
Ba  0.000  0.500  0.000
Ba  0.500  0.000  0.000
Ba  0.500  0.500  0.500
Pb  0.250  0.250  0.250
Pb  0.250  0.250  0.750
Pb  0.250  0.750  0.250
Pb  0.250  0.750  0.750
Pb  0.750  0.250  0.250
Pb  0.750  0.250  0.750
Pb  0.750  0.750  0.250
Pb  0.750  0.750  0.750